1.
GGA-PBE La2ThHg, relaxed; energy above the most stable polymorph in this dataset = 0.57 eV per formula unit; uncorrected energy = -0.1656 hartree per atom; SG = No. 8; spin magnetization = 0.000 μB per formula unit; formation enthalpy at 0 K = -112 meV per atom
1.0
3.688 0.002 0.002
1.846 3.193 0.002
1.854 1.070 11.086
La Th Hg
2 1 1
direct
0.255 0.255 0.235
0.078 0.078 0.765
0.500 0.500 0.500
0.667 0.667 0.000

=====

2.
GGA-PBE LaThHg6, relaxed; uncorrected energy = -0.0774 hartree per atom; SG = No. 38; spin magnetization = 0.000 μB per formula unit; formation enthalpy at 0 K = -336 meV per atom
1.0
5.045 0.000 0.000
0.000 6.879 -0.223
0.000 -3.246 6.069
Hg Th La
6 1 1
direct
0.000 0.590 0.410
0.500 0.915 0.085
0.500 0.422 0.086
0.000 0.590 0.930
0.500 0.914 0.578
0.000 0.070 0.410
0.000 0.084 0.916
0.500 0.416 0.584

=====

3.
GGA-PBE LaThHg4, relaxed; energy above the most stable polymorph in this dataset = 0.00 eV per formula unit; uncorrected energy = -0.0964 hartree per atom; SG = No. 12; spin magnetization = 0.000 μB per formula unit; formation enthalpy at 0 K = -364 meV per atom
1.0
-3.288 -3.864 -0.263
2.187 -4.983 -2.888
-0.628 -3.143 5.262
La Th Hg
1 1 4
direct
0.000 0.000 0.000
0.500 0.500 0.500
0.759 0.908 0.574
0.241 0.426 0.092
0.759 0.574 0.908
0.241 0.092 0.426

=====

4.
GGA-PBE LaTh2Hg, relaxed; energy above the most stable polymorph in this dataset = 0.00 eV per formula unit; uncorrected energy = -0.1870 hartree per atom; SG = No. 123; spin magnetization = 0.000 μB per formula unit; formation enthalpy at 0 K = -71 meV per atom
1.0
-0.078 4.226 -2.641
-3.811 -1.710 -2.625
-3.132 1.979 3.258
Hg La Th
1 1 2
direct
0.500 0.500 0.500
0.500 0.000 0.000
0.000 0.500 0.000
0.000 0.000 0.500

=====

5.
GGA-PBE LaThHg, relaxed; energy above the most stable polymorph in this dataset = 0.55 eV per formula unit; uncorrected energy = -0.1570 hartree per atom; SG = No. 156; spin magnetization = 0.000 μB per formula unit; formation enthalpy at 0 K = -56 meV per atom
1.0
-1.590 -2.802 1.895
4.655 -2.486 0.230
-1.385 3.371 3.823
Th La Hg
1 1 1
direct
0.055 0.000 0.000
0.664 0.667 0.333
0.281 0.333 0.667

=====

6.
GGA-PBE La2ThHg, relaxed; energy above the most stable polymorph in this dataset = 0.57 eV per formula unit; uncorrected energy = -0.1656 hartree per atom; SG = No. 123; spin magnetization = 0.000 μB per formula unit; formation enthalpy at 0 K = -112 meV per atom
1.0
-2.224 -1.989 -4.080
2.024 -4.391 1.037
-3.953 -1.177 2.729
La Hg Th
2 1 1
direct
0.000 0.500 0.000
0.000 0.000 0.500
0.500 0.000 0.000
0.500 0.500 0.500

=====

7.
GGA-PBE LaThHg4, relaxed; energy above the most stable polymorph in this dataset = 0.26 eV per formula unit; uncorrected energy = -0.0948 hartree per atom; SG = No. 6; spin magnetization = 0.000 μB per formula unit; formation enthalpy at 0 K = -320 meV per atom
1.0
-1.358 -3.662 1.226
3.011 0.365 4.424
-4.999 5.131 2.982
Hg Th La
4 1 1
direct
0.817 0.997 0.877
0.682 0.497 0.614
0.483 0.997 0.206
0.023 0.497 0.295
0.147 0.997 0.536
0.356 0.497 0.961

=====

8.
GGA-PBE LaTh2Hg, relaxed; energy above the most stable polymorph in this dataset = 0.81 eV per formula unit; uncorrected energy = -0.1796 hartree per atom; SG = No. 166; spin magnetization = 0.001 μB per formula unit; formation enthalpy at 0 K = 131 meV per atom
1.0
3.442 0.000 0.000
1.721 2.981 0.000
1.721 0.994 12.242
La Hg Th
1 1 2
direct
0.000 0.000 0.000
0.500 0.500 0.500
0.093 0.093 0.720
0.907 0.907 0.280

=====

9.
GGA-PBE LaThHg5, relaxed; uncorrected energy = -0.0806 hartree per atom; SG = No. 123; spin magnetization = 0.000 μB per formula unit; formation enthalpy at 0 K = -214 meV per atom
1.0
4.828 0.000 0.000
0.000 4.828 0.000
0.000 0.000 8.600
La Hg Th
1 5 1
direct
0.500 0.500 0.000
0.500 0.000 0.246
0.000 0.500 0.246
0.500 0.000 0.754
0.000 0.500 0.754
0.500 0.500 0.500
0.000 0.000 0.500

=====

10.
GGA-PBE La2ThHg, relaxed; energy above the most stable polymorph in this dataset = 0.00 eV per formula unit; uncorrected energy = -0.1708 hartree per atom; SG = No. 123; spin magnetization = 0.000 μB per formula unit; formation enthalpy at 0 K = -254 meV per atom
1.0
3.697 0.000 0.000
0.000 3.697 0.000
0.000 0.000 9.244
Hg Th La
1 1 2
direct
0.500 0.500 0.000
0.500 0.500 0.500
0.000 0.000 0.234
0.000 0.000 0.766

=====

11.
GGA-PBE La2ThHg, relaxed; energy above the most stable polymorph in this dataset = 1.31 eV per formula unit; uncorrected energy = -0.1588 hartree per atom; SG = No. 166; spin magnetization = 0.000 μB per formula unit; formation enthalpy at 0 K = 73 meV per atom
1.0
-3.152 0.848 -1.287
-2.851 -1.759 1.041
-3.576 7.625 9.001
Th Hg La
1 1 2
direct
0.000 0.000 0.000
0.500 0.500 0.500
0.906 0.906 0.281
0.094 0.094 0.719

=====

12.
GGA-PBE LaThHg, relaxed; energy above the most stable polymorph in this dataset = 0.00 eV per formula unit; uncorrected energy = -0.1638 hartree per atom; SG = No. 63; spin magnetization = 0.000 μB per formula unit; formation enthalpy at 0 K = -240 meV per atom
1.0
-3.309 1.304 1.018
1.563 -0.311 5.479
4.779 7.604 -0.931
La Th Hg
2 2 2
direct
0.090 0.250 0.179
0.910 0.750 0.821
0.775 0.250 0.550
0.225 0.750 0.450
0.566 0.750 0.133
0.434 0.250 0.867

=====

13.
GGA-PBE LaThTlHg, relaxed; uncorrected energy = -0.1478 hartree per atom; SG = No. 216; spin magnetization = 0.000 μB per formula unit; formation enthalpy at 0 K = -269 meV per atom
1.0
5.523 0.000 0.000
2.761 4.783 0.000
2.761 1.594 4.509
Hg La Tl Th
1 1 1 1
direct
0.500 0.500 0.500
0.750 0.750 0.750
0.000 0.000 0.000
0.250 0.250 0.250

=====

14.
GGA-PBE LaTmThHg, relaxed; uncorrected energy = -0.1575 hartree per atom; SG = No. 216; spin magnetization = 0.001 μB per formula unit; formation enthalpy at 0 K = -7 meV per atom
1.0
5.539 0.000 0.000
2.769 4.797 0.000
2.769 1.599 4.522
Hg Tm Th La
1 1 1 1
direct
0.250 0.250 0.250
0.750 0.750 0.750
0.500 0.500 0.500
0.000 0.000 0.000

=====

15.
GGA-PBE LaThZnHg, relaxed; uncorrected energy = -0.1368 hartree per atom; SG = No. 216; spin magnetization = 0.002 μB per formula unit; formation enthalpy at 0 K = -242 meV per atom
1.0
5.369 0.000 0.000
2.684 4.649 0.000
2.684 1.550 4.383
Zn Th Hg La
1 1 1 1
direct
0.000 0.000 0.000
0.750 0.750 0.750
0.500 0.500 0.500
0.250 0.250 0.250

=====

16.
GGA-PBE La3TiHg, relaxed; energy above the most stable polymorph in this dataset = 0.00 eV per formula unit; uncorrected energy = -0.1585 hartree per atom; SG = No. 221; spin magnetization = 0.000 μB per formula unit; formation enthalpy at 0 K = 284 meV per atom
1.0
-1.536 2.513 4.667
-0.209 -4.884 2.561
5.296 0.536 1.454
La Hg Ti
3 1 1
direct
0.000 0.000 0.500
0.500 0.000 0.000
0.000 0.500 0.000
0.500 0.500 0.500
0.000 0.000 0.000

=====

17.
GGA-PBE La2TiHg, relaxed; uncorrected energy = -0.1554 hartree per atom; SG = No. 122; spin magnetization = 0.000 μB per formula unit; formation enthalpy at 0 K = 284 meV per atom
1.0
-8.152 -1.685 1.482
1.917 -8.132 1.298
-2.689 -4.325 4.411
La Hg Ti
4 2 2
direct
0.139 0.625 0.250
0.375 0.389 0.750
0.875 0.861 0.750
0.611 0.125 0.250
0.750 0.250 0.500
0.000 0.000 0.000
0.250 0.750 0.500
0.500 0.500 0.000

=====

18.
GGA-PBE La2TlHg8, relaxed; uncorrected energy = -0.0589 hartree per atom; SG = No. 12; spin magnetization = 0.000 μB per formula unit; formation enthalpy at 0 K = -272 meV per atom
1.0
-3.014 1.872 -3.604
5.868 2.514 -3.602
-0.924 -9.232 -0.475
Hg La Tl
8 2 1
direct
0.001 0.297 0.001
0.160 0.159 0.320
0.999 0.703 0.999
0.840 0.841 0.680
0.365 0.584 0.731
0.366 0.148 0.732
0.634 0.852 0.268
0.635 0.416 0.269
0.205 0.706 0.410
0.795 0.294 0.590
0.500 0.000 0.000

=====

19.
GGA-PBE LaTl3Hg3, relaxed; uncorrected energy = -0.0560 hartree per atom; SG = No. 223; spin magnetization = 0.272 μB per formula unit; formation enthalpy at 0 K = 323 meV per atom
1.0
8.066 0.000 0.000
0.000 8.066 0.000
0.000 0.000 8.066
Tl Hg La
6 6 2
direct
0.750 0.500 0.000
0.000 0.250 0.500
0.500 0.000 0.750
0.500 0.000 0.250
0.250 0.500 0.000
0.000 0.750 0.500
0.500 0.750 0.000
0.500 0.250 0.000
0.750 0.000 0.500
0.000 0.500 0.750
0.000 0.500 0.250
0.250 0.000 0.500
0.500 0.500 0.500
0.000 0.000 0.000

=====

20.
GGA-PBE LaTl2Hg, relaxed; uncorrected energy = -0.1027 hartree per atom; SG = No. 216; spin magnetization = 0.000 μB per formula unit; formation enthalpy at 0 K = -304 meV per atom
1.0
-3.021 -4.538 0.149
2.215 -4.796 -1.354
0.917 -3.762 3.841
Hg Tl La
1 2 1
direct
0.500 0.500 0.500
0.000 0.000 0.000
0.250 0.250 0.250
0.750 0.750 0.750

=====

21.
GGA-PBE La3TlHg4, relaxed; uncorrected energy = -0.1010 hartree per atom; SG = No. 166; spin magnetization = 0.000 μB per formula unit; formation enthalpy at 0 K = -454 meV per atom
1.0
-4.451 -1.435 -2.687
0.294 -3.672 -3.939
-2.931 -8.418 3.937
Hg Tl La
4 1 3
direct
0.869 0.869 0.393
0.131 0.131 0.607
0.620 0.620 0.141
0.380 0.380 0.859
0.000 0.000 0.000
0.739 0.739 0.783
0.500 0.500 0.500
0.261 0.261 0.217

=====

22.
GGA-PBE LaTlHg3, relaxed; energy above the most stable polymorph in this dataset = 0.00 eV per formula unit; uncorrected energy = -0.0600 hartree per atom; SG = No. 160; spin magnetization = 0.000 μB per formula unit; formation enthalpy at 0 K = 8 meV per atom
1.0
-4.722 2.980 -0.876
-0.365 -3.249 -4.610
-2.194 -3.720 3.646
Hg La Tl
3 1 1
direct
0.473 0.099 0.099
0.099 0.473 0.099
0.099 0.099 0.473
0.912 0.912 0.912
0.530 0.530 0.530

=====

23.
GGA-PBE LaTlHg, relaxed; uncorrected energy = -0.1077 hartree per atom; SG = No. 156; spin magnetization = 0.000 μB per formula unit; formation enthalpy at 0 K = -399 meV per atom
1.0
-4.222 0.868 -2.675
2.431 -4.428 -0.463
-2.135 -1.474 2.891
La Hg Tl
1 1 1
direct
0.667 0.333 0.332
0.000 0.000 0.897
0.333 0.667 0.771

=====

24.
GGA-PBE La2TlHg, relaxed; uncorrected energy = -0.1320 hartree per atom; SG = No. 225; spin magnetization = 0.948 μB per formula unit; formation enthalpy at 0 K = -460 meV per atom
1.0
-5.402 0.038 1.430
-1.873 -3.503 3.931
-1.554 1.977 4.990
La Tl Hg
2 1 1
direct
0.500 0.500 0.500
0.000 0.000 0.000
0.750 0.750 0.750
0.250 0.250 0.250

=====

25.
GGA-PBE LaTl2Hg, relaxed; uncorrected energy = -0.1034 hartree per atom; SG = No. 8; spin magnetization = 0.000 μB per formula unit; formation enthalpy at 0 K = -323 meV per atom
1.0
5.810 -0.033 -0.018
3.735 4.450 -0.018
2.036 0.942 4.403
La Tl Hg
1 2 1
direct
0.250 0.250 0.251
0.000 0.000 0.998
0.750 0.750 0.749
0.500 0.500 0.502

=====

26.
GGA-PBE LaTlHg2, relaxed; energy above the most stable polymorph in this dataset = 0.40 eV per formula unit; uncorrected energy = -0.0839 hartree per atom; SG = No. 47; spin magnetization = 0.284 μB per formula unit; formation enthalpy at 0 K = -309 meV per atom
1.0
-2.374 3.192 0.235
-3.118 -2.367 0.663
1.217 0.383 7.092
Hg La Tl
2 1 1
direct
0.000 0.000 0.999
0.000 0.000 0.501
0.500 0.500 0.250
0.500 0.500 0.750

=====

27.
GGA-PBE La2TlHg, relaxed; uncorrected energy = -0.1169 hartree per atom; SG = No. 216; spin magnetization = 1.485 μB per formula unit; formation enthalpy at 0 K = -51 meV per atom
1.0
5.538 0.000 0.000
2.769 4.796 0.000
2.769 1.599 4.522
La Tl Hg
2 1 1
direct
0.000 0.000 0.000
0.250 0.250 0.250
0.750 0.750 0.750
0.500 0.500 0.500

=====

28.
GGA-PBE LaTlHg4, relaxed; energy above the most stable polymorph in this dataset = 0.00 eV per formula unit; uncorrected energy = -0.0627 hartree per atom; SG = No. 11; spin magnetization = 0.000 μB per formula unit; formation enthalpy at 0 K = -288 meV per atom
1.0
-2.833 -0.442 -4.334
-5.770 0.768 3.693
-2.457 9.304 0.658
Hg Tl La
8 2 2
direct
0.750 0.716 0.585
0.250 0.284 0.415
0.750 0.193 0.585
0.750 0.026 0.919
0.250 0.974 0.081
0.750 0.553 0.919
0.250 0.807 0.415
0.250 0.447 0.081
0.250 0.378 0.742
0.750 0.622 0.258
0.250 0.875 0.749
0.750 0.125 0.251